[1]
RbHoP2Pt4 | Alexandria | GGA-PBE | optimized geometry; DOS(E_F) = 0.5267 states/eV/atom; volume = 179 Å³ per cell; E = -5.820 eV/atom; M_tot = 0.0 μB/cell; DFT formation energy = -0.754 eV/atom; crystal system = tetragonal
1.0
4.039 0.000 0.000
0.000 4.039 0.000
0.000 0.000 10.959
Rb Ho P Pt
1 1 2 4
direct
0.000 0.000 0.000 Rb
0.000 0.000 0.500 Ho
0.500 0.500 0.197 P
0.500 0.500 0.803 P
0.000 0.500 0.306 Pt
0.000 0.500 0.694 Pt
0.500 0.000 0.306 Pt
0.500 0.000 0.694 Pt

[2]
HoP2PtRh2 | Alexandria | GGA-PBE | optimized geometry; DOS(E_F) = 0.5833 states/eV/atom; volume = 209 Å³ per cell; E = -6.773 eV/atom; M_tot = 0.0 μB/cell; DFT formation energy = -0.749 eV/atom; crystal system = orthorhombic
1.0
6.254 0.000 0.000
0.000 8.127 0.000
0.000 0.000 4.114
Ho P Pt Rh
2 4 2 4
direct
0.000 0.000 0.000 Ho
0.500 0.500 0.500 Ho
0.225 0.198 0.500 P
0.275 0.698 0.000 P
0.725 0.302 0.000 P
0.775 0.802 0.500 P
0.000 0.500 0.000 Pt
0.500 0.000 0.500 Pt
0.125 0.735 0.500 Rh
0.375 0.235 0.000 Rh
0.625 0.765 0.000 Rh
0.875 0.265 0.500 Rh

[3]
HoPPtRh | Alexandria | GGA-PBE | optimized geometry; DOS(E_F) = 0.5867 states/eV/atom; volume = 138 Å³ per cell; E = -6.976 eV/atom; M_tot = 0.0 μB/cell; DFT formation energy = -1.131 eV/atom; crystal system = tetragonal
1.0
3.862 0.000 0.000
0.000 3.862 0.000
0.000 0.000 9.263
Ho P Pt Rh
2 2 2 2
direct
0.250 0.250 0.224 Ho
0.750 0.750 0.776 Ho
0.250 0.250 0.653 P
0.750 0.750 0.347 P
0.250 0.250 0.909 Pt
0.750 0.750 0.091 Pt
0.250 0.750 0.500 Rh
0.750 0.250 0.500 Rh

[4]
Ho3P2Pt2Rh5 | Alexandria | GGA-PBE | optimized geometry; DOS(E_F) = 0.5317 states/eV/atom; volume = 207 Å³ per cell; E = -7.132 eV/atom; M_tot = 0.0 μB/cell; DFT formation energy = -1.016 eV/atom; crystal system = tetragonal
1.0
-1.987 1.987 13.095
1.987 -1.987 13.095
1.987 1.987 -13.095
Ho P Pt Rh
3 2 2 5
direct
0.000 0.000 0.000 Ho
0.170 0.170 0.000 Ho
0.830 0.830 0.000 Ho
0.372 0.372 0.000 P
0.628 0.628 0.000 P
0.283 0.283 0.000 Pt
0.717 0.717 0.000 Pt
0.083 0.583 0.500 Rh
0.417 0.917 0.500 Rh
0.500 0.500 0.000 Rh
0.583 0.083 0.500 Rh
0.917 0.417 0.500 Rh

[5]
Ho4P3PtRh12 | Alexandria | GGA-PBE | optimized geometry; DOS(E_F) = 0.4399 states/eV/atom; volume = 370 Å³ per cell; E = -6.904 eV/atom; M_tot = 0.0 μB/cell; DFT formation energy = -0.464 eV/atom; crystal system = cubic
1.0
-4.522 4.522 4.522
4.522 -4.522 4.522
4.522 4.522 -4.522
Ho P Pt Rh
4 3 1 12
direct
0.000 0.000 0.500 Ho
0.000 0.500 0.000 Ho
0.500 0.000 0.000 Ho
0.500 0.500 0.500 Ho
0.000 0.500 0.500 P
0.500 0.000 0.500 P
0.500 0.500 0.000 P
0.000 0.000 0.000 Pt
0.000 0.270 0.270 Rh
0.000 0.730 0.730 Rh
0.250 0.500 0.750 Rh
0.250 0.750 0.500 Rh
0.270 0.000 0.270 Rh
0.270 0.270 0.000 Rh
0.500 0.250 0.750 Rh
0.500 0.750 0.250 Rh
0.730 0.000 0.730 Rh
0.730 0.730 0.000 Rh
0.750 0.250 0.500 Rh
0.750 0.500 0.250 Rh

[6]
Ho4PPtS2 | Alexandria | GGA-PBE | optimized geometry; DOS(E_F) = 0.6479 states/eV/atom; volume = 178 Å³ per cell; E = -6.414 eV/atom; M_tot = 0.0 μB/cell; formation energy (no corrections) = -1.66 eV per atom; crystal system = monoclinic
1.0
6.885 0.000 0.000
0.000 3.928 0.000
-2.244 0.000 6.571
Ho P Pt S
4 1 1 2
direct
0.245 0.000 0.246 Ho
0.249 0.500 0.752 Ho
0.751 0.500 0.248 Ho
0.755 0.000 0.754 Ho
0.000 0.500 0.000 P
0.500 0.000 0.000 Pt
0.000 0.000 0.500 S
0.500 0.500 0.500 S